Entry 1:
TeHF2 | PBE | optimized geometry

As for the relative energy among the computed polymorphs: 848 meV/atom.

It has space group Fm-3m (No. 225), with a = 5.792 Å, b = 5.792 Å, c = 5.792 Å, α = 90.00°, β = 90.00° and γ = 90.00°. The distinct sites, in fractional coordinates, are Te at (0.000, 0.000, 0.000), H at (0.000, 0.000, 0.500) and F at (0.250, 0.250, 0.250).

Entry 2:
TbCu12Si4 | PBE | optimized geometry

The calculation puts the uncorrected formation energy at 0.27 eV/atom.

It has space group Im-3 (No. 204), with a = 8.111 Å, b = 8.111 Å, c = 8.111 Å, α = 90.00°, β = 90.00° and γ = 90.00°. The distinct sites, in fractional coordinates, are Tb at (0.000, 0.000, 0.000), Cu at (0.000, 0.156, 0.352) and Si at (0.250, 0.250, 0.250).

Entry 3:
ZnSb2AsAu | PBE | optimized geometry

The calculation puts the uncorrected formation energy at 0.76 eV/atom.

It has space group P4/mmm (No. 123), with a = 5.494 Å, b = 5.494 Å, c = 4.942 Å, α = 90.00°, β = 90.00° and γ = 90.00°. The distinct sites, in fractional coordinates, are Zn at (0.000, 0.000, 0.000), Sb at (0.000, 0.500, 0.500), As at (0.500, 0.500, 0.000) and Au at (0.500, 0.500, 0.500).

Entry 4:
TiIn | PBE | optimized geometry

The formation energy is -0.013 eV per atom.

It has space group P-6m2 (No. 187), with a = 3.0901 Å, b = 3.0901 Å, c = 4.8468 Å, α = 90.00°, β = 90.00° and γ = 120.00°. The distinct sites, in fractional coordinates, are Ti at (0.0000, 0.0000, 0.0000) and In at (0.6667, 0.3333, 0.5000).

Entry 5:
In2GaBr4 | PBE | optimized geometry

The calculation puts the uncorrected formation energy at -0.61 eV/atom. As for the relative energy among the computed polymorphs: 0 meV/atom.

It has space group I4/mmm (No. 139), with a = 5.343 Å, b = 5.343 Å, c = 16.535 Å, α = 90.00°, β = 90.00° and γ = 90.00°. The distinct sites, in fractional coordinates, are In at (0.000, 0.000, 0.144), Ga at (0.000, 0.000, 0.500), Br at (0.000, 0.000, 0.331) and Br at (0.000, 0.500, 0.000).

Entry 6:
NaAl2ZnGa4 | PBE | optimized geometry

The formation energy is 0.033 eV per atom.

It has space group R-3m (No. 166, hexagonal axes), with a = 4.5974 Å, b = 4.5974 Å, c = 26.1983 Å, α = 90.00°, β = 90.00° and γ = 120.00°. The distinct sites, in fractional coordinates, are Na at (0.0000, 0.0000, 0.0000), Al at (0.0000, 0.0000, 0.2392), Zn at (0.0000, 0.0000, 0.5000), Ga at (0.0000, 0.0000, 0.1289) and Ga at (0.0000, 0.0000, 0.3983).

Entry 7:
Cs2RbMg | PBE | optimized geometry

The formation energy is 0.324 eV per atom. As for the relative energy among the computed polymorphs: 145 meV/atom.

It has space group R-3m (No. 166, hexagonal axes), with a = 4.9268 Å, b = 4.9268 Å, c = 50.6855 Å, α = 90.00°, β = 90.00° and γ = 120.00°. The distinct sites, in fractional coordinates, are Cs at (0.0000, 0.0000, 0.0794), Rb at (0.0000, 0.0000, 0.5000) and Mg at (0.0000, 0.0000, 0.0000).

Entry 8:
HfSe3N | PBE | optimized geometry

The calculation puts the uncorrected formation energy at 0.61 eV/atom. As for the relative energy among the computed polymorphs: 195 meV/atom.

It has space group Pm-3m (No. 221), with a = 5.187 Å, b = 5.187 Å, c = 5.187 Å, α = 90.00°, β = 90.00° and γ = 90.00°. The distinct sites, in fractional coordinates, are Hf at (0.000, 0.000, 0.000), Se at (0.000, 0.000, 0.500) and N at (0.500, 0.500, 0.500).

| no. | volume (Å³ per atom) | total DFT energy (no corrections) (eV/atom) |
| --- | --- | --- |
| 1 | 12.1 | -2.79 |
| 2 | 15.7 | -4.17 |
| 3 | 29.8 | -2.73 |
| 4 | 20.0 | -5.33 |
| 5 | 33.7 | -2.79 |
| 6 | 20.0 | -2.74 |
| 7 | 88.8 | -0.74 |
| 8 | 27.9 | -5.14 |